Density functional theory data (PBE-GGA) for a relaxed HfCdCu2W crystal.

Formation energy from the elements = 2.149 eV per atom

a b c (Å): 4.6080 4.6080 5.1740
angles (deg): 90.00 90.00 90.00
Positions (direct):
Hf  0.0000  0.0000  0.0000
Cd  0.0000  0.0000  0.5000
Cu  0.0000  0.5000  0.0000
Cu  0.5000  0.0000  0.0000
W  0.5000  0.5000  0.5000

Density functional theory data (PBE-GGA) for a relaxed Zn5GaPd6 crystal.

Formation energy from the elements = -0.565 eV per atom

a b c (Å): 4.3981 6.0526 6.6943
angles (deg): 90.00 102.25 90.00
Positions (direct):
Zn  0.0000  0.0000  0.0000
Zn  0.3375  0.5000  0.6603
Zn  0.3394  0.0000  0.6656
Zn  0.6606  0.0000  0.3344
Zn  0.6625  0.5000  0.3397
Ga  0.0000  0.5000  0.0000
Pd  0.1583  0.2506  0.3290
Pd  0.1583  0.7494  0.3290
Pd  0.5000  0.2535  0.0000
Pd  0.5000  0.7465  0.0000
Pd  0.8417  0.2506  0.6710
Pd  0.8417  0.7494  0.6710

Density functional theory data (PBE-GGA) for a relaxed Sc2PS crystal.

Distance to the lowest polymorph of the same formula = 0 kJ/mol of formula units
Raw formation energy = -1.742 eV per atom

a b c (Å): 3.7192 3.7192 6.4827
angles (deg): 106.56 106.56 60.00
Positions (direct):
Sc  0.2466  0.2466  0.2403
Sc  0.7534  0.7534  0.7597
P  0.5000  0.5000  0.0000
S  0.0000  0.0000  0.5000

Density functional theory data (PBE-GGA) for a relaxed Pr2FeHg crystal.

Formation energy from the elements = -0.070 eV per atom

a b c (Å): 3.6182 3.6182 7.8512
angles (deg): 90.00 90.00 90.00
Positions (direct):
Pr  0.0000  0.0000  0.2191
Pr  0.0000  0.0000  0.7809
Fe  0.5000  0.5000  0.0000
Hg  0.5000  0.5000  0.5000

Density functional theory data (PBE-GGA) for a relaxed Ru2PtW crystal.

Formation energy from the elements = -0.078 eV per atom
Distance to the lowest polymorph of the same formula = 37 kJ/mol of formula units

a b c (Å): 2.7459 3.9175 5.5262
angles (deg): 90.00 90.05 90.00
Positions (direct):
Ru  0.0000  0.0000  0.0000
Ru  0.5003  0.5000  0.2147
Pt  0.4999  0.5000  0.7275
W  0.9982  0.0000  0.4656

Density functional theory data (PBE-GGA) for a relaxed LaSi2Ag3 crystal.

Raw formation energy = -0.313 eV per atom

a b c (Å): 8.2605 8.2605 7.7661
angles (deg): 114.59 114.59 30.12
Positions (direct):
La  0.1498  0.1498  0.0703
La  0.8502  0.8502  0.9297
Si  0.1948  0.1948  0.7011
Si  0.4828  0.4828  0.8399
Si  0.5172  0.5172  0.1601
Si  0.8052  0.8052  0.2989
Ag  0.0423  0.0423  0.3701
Ag  0.3165  0.3165  0.5620
Ag  0.3958  0.3958  0.2951
Ag  0.6042  0.6042  0.7049
Ag  0.6835  0.6835  0.4380
Ag  0.9577  0.9577  0.6299

no.,DFT total energy (eV/atom),theoretical density (g/cm3),volume (Å³/cell)
1,-4.2540,9.10,109.9
2,-3.9444,9.87,174.1
3,-7.2921,3.46,73.3
4,-4.6510,8.70,102.8
5,-9.4647,16.23,59.4
6,-4.3675,7.18,240.0